[1]
# YW2Br, optimized geometry, DFT PBE-GGA
data_YW2Br
_chemical_formula_sum 'Y1 W2 Br1'
_symmetry_space_group_name_H-M 'P 1'
_symmetry_Int_Tables_number 1
_cell_length_a 3.273
_cell_length_b 5.660
_cell_length_c 4.614
_cell_angle_alpha 90.00
_cell_angle_beta 91.18
_cell_angle_gamma 90.00
loop_
_symmetry_equiv_pos_as_xyz
'x,y,z'
loop_
_atom_site_label
_atom_site_fract_x
_atom_site_fract_y
_atom_site_fract_z
_atom_site_occupancy
Y1 0.000 0.000 0.000 1
W1 0.261 0.500 0.206 1
W2 0.739 0.500 0.794 1
Br1 0.500 0.000 0.500 1
# polymorph energy (0 for the lowest one) = 0.456 eV per atom
# raw formation energy = 540 meV per atom
# space group = P2/m
# ρ = 10.4 g/cm³



[2]
# YW2Br, optimized geometry, DFT PBE-GGA
data_YW2Br
_chemical_formula_sum 'Y1 W2 Br1'
_symmetry_space_group_name_H-M 'P 1'
_symmetry_Int_Tables_number 1
_cell_length_a 4.773
_cell_length_b 4.773
_cell_length_c 4.773
_cell_angle_alpha 60.00
_cell_angle_beta 60.00
_cell_angle_gamma 60.00
loop_
_symmetry_equiv_pos_as_xyz
'x,y,z'
loop_
_atom_site_label
_atom_site_fract_x
_atom_site_fract_y
_atom_site_fract_z
_atom_site_occupancy
Y1 0.000 0.000 0.000 1
W1 0.250 0.250 0.250 1
W2 0.750 0.750 0.750 1
Br1 0.500 0.500 0.500 1
# polymorph energy (0 for the lowest one) = 1.472 eV per atom
# raw formation energy = 1556 meV per atom
# space group = Fm-3m
# ρ = 11.6 g/cm³



[3]
# YWBr2, optimized geometry, DFT PBE-GGA
data_YWBr2
_chemical_formula_sum 'Y1 W1 Br2'
_symmetry_space_group_name_H-M 'P 1'
_symmetry_Int_Tables_number 1
_cell_length_a 6.160
_cell_length_b 6.160
_cell_length_c 6.160
_cell_angle_alpha 140.85
_cell_angle_beta 140.85
_cell_angle_gamma 56.56
loop_
_symmetry_equiv_pos_as_xyz
'x,y,z'
loop_
_atom_site_label
_atom_site_fract_x
_atom_site_fract_y
_atom_site_fract_z
_atom_site_occupancy
Y1 0.000 0.000 0.000 1
W1 0.750 0.250 0.500 1
Br1 0.250 0.750 0.500 1
Br2 0.500 0.500 0.000 1
# polymorph energy (0 for the lowest one) = 0.662 eV per atom
# raw formation energy = 524 meV per atom
# space group = I-4m2
# ρ = 7.8 g/cm³



[4]
# YW2Br, optimized geometry, DFT PBE-GGA
data_YW2Br
_chemical_formula_sum 'Y1 W2 Br1'
_symmetry_space_group_name_H-M 'P 1'
_symmetry_Int_Tables_number 1
_cell_length_a 3.745
_cell_length_b 3.745
_cell_length_c 5.755
_cell_angle_alpha 90.00
_cell_angle_beta 90.00
_cell_angle_gamma 90.00
loop_
_symmetry_equiv_pos_as_xyz
'x,y,z'
loop_
_atom_site_label
_atom_site_fract_x
_atom_site_fract_y
_atom_site_fract_z
_atom_site_occupancy
Y1 0.000 0.000 0.000 1
W1 0.500 0.500 0.282 1
W2 0.500 0.500 0.718 1
Br1 0.000 0.000 0.500 1
# polymorph energy (0 for the lowest one) = 1.112 eV per atom
# raw formation energy = 1196 meV per atom
# space group = P4/mmm
# ρ = 11.0 g/cm³



[5]
# YWBr2, optimized geometry, DFT PBE-GGA
data_YWBr2
_chemical_formula_sum 'Y1 W1 Br2'
_symmetry_space_group_name_H-M 'P 1'
_symmetry_Int_Tables_number 1
_cell_length_a 5.754
_cell_length_b 5.754
_cell_length_c 3.586
_cell_angle_alpha 107.29
_cell_angle_beta 107.29
_cell_angle_gamma 110.79
loop_
_symmetry_equiv_pos_as_xyz
'x,y,z'
loop_
_atom_site_label
_atom_site_fract_x
_atom_site_fract_y
_atom_site_fract_z
_atom_site_occupancy
Y1 0.000 0.000 0.000 1
W1 0.500 0.500 0.000 1
Br1 0.000 0.500 0.000 1
Br2 0.500 0.000 0.000 1
# polymorph energy (0 for the lowest one) = 0.444 eV per atom
# raw formation energy = 305 meV per atom
# space group = C2/m
# ρ = 7.6 g/cm³



[6]
# Y3WBr, optimized geometry, DFT PBE-GGA
data_Y3WBr
_chemical_formula_sum 'Y3 W1 Br1'
_symmetry_space_group_name_H-M 'P 1'
_symmetry_Int_Tables_number 1
_cell_length_a 5.505
_cell_length_b 5.505
_cell_length_c 5.505
_cell_angle_alpha 90.00
_cell_angle_beta 90.00
_cell_angle_gamma 90.00
loop_
_symmetry_equiv_pos_as_xyz
'x,y,z'
loop_
_atom_site_label
_atom_site_fract_x
_atom_site_fract_y
_atom_site_fract_z
_atom_site_occupancy
Y1 0.000 0.000 0.500 1
Y2 0.000 0.500 0.000 1
Y3 0.500 0.000 0.000 1
W1 0.000 0.000 0.000 1
Br1 0.500 0.500 0.500 1
# polymorph energy (0 for the lowest one) = 0.000 eV per atom
# raw formation energy = 392 meV per atom
# space group = Pm-3m
# ρ = 5.3 g/cm³